A geometry-optimized HgAs2PtO6 structure. Source: the Alexandria database, functional PBE.

The density of states at the Fermi level is 0.222 states/eV per atom. The total magnetization is 0.000 μB/f.u. Its calculated total energy is -5.22 eV per atom. The uncorrected formation energy is -0.683 eV per atom.

The structure belongs to space group C2/c (No. 15); the cell edges are 10.013, 8.297 and 6.626 Å and the angles 90.00°, 111.84° and 90.00°. Symmetry generates all atoms from Hg at (0.000, 0.128, 0.250), As at (0.184, 0.476, 0.229), Pt at (0.000, 0.312, 0.750), O at (0.105, 0.299, 0.077), O at (0.131, 0.078, 0.689) and O at (0.182, 0.399, 0.495).